1.
! YMoAs2Pb | the Alexandria database | PBEsol | optimized geometry; values from VASP
&SYSTEM
  ibrav = 0, nat = 5, ntyp = 4
/
ATOMIC_SPECIES
Y 88.91 Y.upf
Mo 95.94 Mo.upf
As 74.92 As.upf
Pb 207.20 Pb.upf
ATOMIC_POSITIONS angstrom
Y 0.000 0.000 0.000
Mo 2.643 2.643 0.000
As 0.000 2.643 2.789
As 2.643 0.000 2.789
Pb 0.000 0.000 2.789
CELL_PARAMETERS angstrom
5.286 0.000 0.000
0.000 5.286 0.000
0.000 0.000 5.578
! Theoretical density = 5.8 g cm⁻³
! Space group = P4/mmm, No. 123
! Total DFT energy (no corrections) = -24.77 eV for the cell shown
! Volume = 155.9 Å³/cell

2.
! ReMoAsPd2 | the Alexandria database | PBEsol | optimized geometry; values from VASP
&SYSTEM
  ibrav = 0, nat = 5, ntyp = 4
/
ATOMIC_SPECIES
Re 186.21 Re.upf
Mo 95.94 Mo.upf
As 74.92 As.upf
Pd 106.42 Pd.upf
ATOMIC_POSITIONS angstrom
Re 0.000 0.000 0.000
Mo 2.385 2.385 2.294
As 0.000 0.000 2.294
Pd 0.000 2.385 0.000
Pd 2.385 0.000 0.000
CELL_PARAMETERS angstrom
4.769 0.000 0.000
0.000 4.769 0.000
0.000 0.000 4.588
! Theoretical density = 9.1 g cm⁻³
! Space group = P4/mmm, No. 123
! Total DFT energy (no corrections) = -34.63 eV for the cell shown
! Volume = 104.4 Å³/cell

3.
! MoAs3Pt | the Alexandria database | PBEsol | optimized geometry; values from VASP
&SYSTEM
  ibrav = 0, nat = 5, ntyp = 3
/
ATOMIC_SPECIES
Mo 95.94 Mo.upf
As 74.92 As.upf
Pt 195.08 Pt.upf
ATOMIC_POSITIONS angstrom
Mo 0.000 0.000 0.000
As 0.000 2.393 2.393
As 2.393 0.000 2.393
As 2.393 2.393 0.000
Pt 2.393 2.393 2.393
CELL_PARAMETERS angstrom
4.785 0.000 0.000
0.000 4.785 0.000
0.000 0.000 4.785
! Theoretical density = 7.8 g cm⁻³
! Space group = Pm-3m, No. 221
! Total DFT energy (no corrections) = -28.31 eV for the cell shown
! Volume = 109.6 Å³/cell

4.
! MoAsPt2 | the Alexandria database | PBEsol | optimized geometry; values from VASP
&SYSTEM
  ibrav = 0, nat = 4, ntyp = 3
/
ATOMIC_SPECIES
Mo 95.94 Mo.upf
As 74.92 As.upf
Pt 195.08 Pt.upf
ATOMIC_POSITIONS angstrom
Mo 0.000 0.000 0.000
As 0.000 0.000 4.465
Pt 1.592 0.000 2.429
Pt 0.000 2.118 2.036
CELL_PARAMETERS angstrom
-1.592 2.118 4.465
1.592 -2.118 4.465
1.592 2.118 -4.465
! Theoretical density = 15.5 g cm⁻³
! Space group = Immm, No. 71
! Total DFT energy (no corrections) = -31.13 eV for the cell shown
! Volume = 60.2 Å³/cell

Q: Which of these has the lowest total DFT energy (no corrections)?
A: ReMoAsPd2